Entry from Alexandria via LeMat-Bulk: a relaxed structure of PmCd8Hg6 (PBE-GGA).

a = 7.9622 Å, b = 7.9622 Å, c = 7.9622 Å
α = 62.28°, β = 62.28°, γ = 62.28°
Sites, in units of the cell vectors:
Hg1 0.8977 0.4556 0.7457
Cd1 0.3463 0.9165 0.2194
Cd2 0.9165 0.2194 0.3463
Cd3 0.6537 0.0835 0.7806
Hg2 0.1023 0.5444 0.2543
Hg3 0.7457 0.8977 0.4556
Cd4 0.2194 0.3463 0.9165
Hg4 0.2543 0.1023 0.5444
Hg5 0.4556 0.7457 0.8977
Cd5 0.0835 0.7806 0.6537
Cd6 0.7806 0.6537 0.0835
Hg6 0.5444 0.2543 0.1023
Cd7 0.4256 0.4256 0.4256
Cd8 0.5744 0.5744 0.5744
Pm1 0.0000 0.0000 0.0000

**Fermi-level density of states**: 5.311 states/eV per cell
**ΔE_f**: -0.030 eV/atom

Entry from Alexandria via LeMat-Bulk: a relaxed structure of LiTlAu2Se (PBE-GGA).

a = 4.9571 Å, b = 6.2659 Å, c = 4.9571 Å
α = 90.00°, β = 90.00°, γ = 90.00°
Sites, in units of the cell vectors:
Tl1 0.0000 0.5000 0.0000
Li1 0.5000 0.5000 0.5000
Au1 0.0000 0.0000 0.5000
Se1 0.0000 0.0000 0.0000
Au2 0.5000 0.0000 0.0000

**Fermi-level density of states**: 2.543 states/eV per cell
**ΔE_f (raw)**: 1.201 eV per formula unit

Entry from Alexandria via LeMat-Bulk: a relaxed structure of Pr12SmY3 (PBE-GGA).

a = 5.2118 Å, b = 5.2118 Å, c = 20.7760 Å
α = 90.00°, β = 90.00°, γ = 90.00°
Sites, in units of the cell vectors:
Pr1 0.5000 0.0000 0.1257
Pr2 0.0000 0.5000 0.6246
Pr3 0.5000 0.0000 0.3754
Pr4 0.5000 0.0000 0.6246
Y1 0.0000 0.0000 0.2508
Pr5 0.0000 0.5000 0.8743
Pr6 0.0000 0.5000 0.1257
Pr7 0.5000 0.5000 0.0000
Pr8 0.5000 0.5000 0.7491
Pr9 0.5000 0.5000 0.2509
Pr10 0.5000 0.0000 0.8743
Y2 0.0000 0.0000 0.5000
Pr11 0.0000 0.5000 0.3754
Y3 0.0000 0.0000 0.7492
Pr12 0.5000 0.5000 0.5000
Sm1 0.0000 0.0000 0.0000

**Fermi-level density of states**: 24.896 states/eV per cell
**ΔE_f**: 0.010 eV/atom